{"formula": "Gd2YEr", "functional": "PBE", "state": "optimized geometry", "lattice": [[5.659, 0.000, 0.000], [0.000, 3.627, 6.287], [0.000, -3.627, 6.287]], "species": ["Gd", "Gd", "Gd", "Gd", "Y", "Y", "Er", "Er"], "frac_coords": [[0.000, 0.000, 0.000], [0.000, 0.498, 0.999], [0.000, 0.999, 0.498], [0.500, 0.666, 0.666], [0.500, 0.166, 0.665], [0.500, 0.665, 0.166], [0.000, 0.500, 0.500], [0.500, 0.166, 0.166]], "space_group": "Amm2", "final_energy_ev_per_atom": -5.08}

---

{"formula": "NaGaSiPd", "functional": "PBE", "state": "optimized geometry", "lattice": [[0.000, 3.220, 3.220], [3.220, 0.000, 3.220], [3.220, 3.220, 0.000]], "species": ["Na", "Ga", "Si", "Pd"], "frac_coords": [[0.000, 0.000, 0.000], [0.500, 0.500, 0.500], [0.750, 0.750, 0.750], [0.250, 0.250, 0.250]], "space_group": "F-43m", "relative_energy_mev_per_atom": 124, "final_energy_ev_per_atom": -3.71}

---

{"formula": "RbTcAgSe2S", "functional": "PBE", "state": "optimized geometry", "lattice": [[1.929, -7.723, 0.000], [1.929, 7.723, 0.000], [0.000, 0.000, 10.027]], "species": ["Rb", "Rb", "Tc", "Tc", "Ag", "Ag", "Se", "Se", "Se", "Se", "S", "S"], "frac_coords": [[0.249, 0.751, 0.750], [0.751, 0.249, 0.250], [0.000, 0.000, 0.000], [0.000, 0.000, 0.500], [0.457, 0.543, 0.250], [0.543, 0.457, 0.750], [0.385, 0.615, 0.020], [0.385, 0.615, 0.480], [0.615, 0.385, 0.520], [0.615, 0.385, 0.980], [0.059, 0.941, 0.250], [0.941, 0.059, 0.750]], "space_group": "Cmcm", "relative_energy_mev_per_atom": 117, "final_energy_ev_per_atom": -4.52}

---

{"formula": "LuHfAl", "functional": "PBE", "state": "optimized geometry", "lattice": [[0.000, 3.360, 3.360], [3.360, 0.000, 3.360], [3.360, 3.360, 0.000]], "species": ["Lu", "Hf", "Al"], "frac_coords": [[0.000, 0.000, 0.000], [0.500, 0.500, 0.500], [0.750, 0.750, 0.750]], "space_group": "F-43m", "relative_energy_mev_per_atom": 0, "final_energy_ev_per_atom": -5.89}

---

Q: What is the formula in the first record?
A: Gd2YEr